No. 1
{"formula": "V5Zn2", "functional": "GGA-PBE", "state": "optimized geometry", "lattice": [[3.028, 0.000, -0.421], [-0.059, 3.028, -0.421], [-0.068, -0.070, 10.604]], "species": ["V", "V", "V", "V", "V", "Zn", "Zn"], "frac_coords": [[0.573, 0.573, 0.145], [0.427, 0.427, 0.855], [0.867, 0.867, 0.734], [0.000, 0.000, 0.000], [0.133, 0.133, 0.266], [0.713, 0.713, 0.426], [0.287, 0.287, 0.574]], "ef_kj_per_mol_fu": 19, "magnetic_moment_mub_per_fu": 0.0, "crystal_system": "tetragonal"}

No. 2
{"formula": "V3Zn", "functional": "GGA-PBE", "state": "optimized geometry", "lattice": [[2.438, 0.000, 0.000], [0.000, 5.005, 0.000], [-1.219, -2.503, 4.465]], "species": ["V", "V", "V", "Zn"], "frac_coords": [[0.249, 0.559, 0.499], [0.500, 0.525, 0.000], [0.751, 0.060, 0.501], [0.000, 0.022, 0.000]], "ef_kj_per_mol_fu": 37, "magnetic_moment_mub_per_fu": 0.0, "crystal_system": "orthorhombic"}

No. 3
{"formula": "V5Zn", "functional": "GGA-PBE", "state": "optimized geometry", "lattice": [[-2.828, 1.114, -0.447], [-1.058, -3.561, -2.187], [-1.338, -0.867, 6.307]], "species": ["Zn", "V", "V", "V", "V", "V"], "frac_coords": [[0.000, 0.000, 0.000], [0.500, 0.177, 0.354], [0.000, 0.663, 0.326], [0.500, 0.500, 0.000], [0.000, 0.337, 0.674], [0.500, 0.823, 0.646]], "ef_kj_per_mol_fu": 14, "magnetic_moment_mub_per_fu": 0.0, "crystal_system": "orthorhombic", "polymorph_energy_ev_per_atom": 0.000}

No. 4
{"formula": "V3Zn", "functional": "GGA-PBE", "state": "optimized geometry", "lattice": [[2.559, -0.031, 0.000], [-0.649, 2.475, 0.000], [0.000, 0.000, 8.621]], "species": ["Zn", "V", "V", "V"], "frac_coords": [[0.000, 0.000, 0.000], [0.000, 0.000, 0.500], [0.500, 0.500, 0.257], [0.500, 0.500, 0.743]], "ef_kj_per_mol_fu": -3, "magnetic_moment_mub_per_fu": 0.0, "crystal_system": "orthorhombic"}